No. 1
The following is a PBE calculation of a relaxed structure of Cu2N2Cl3, from the Alexandria database.

a b c (Å): 3.223 4.632 9.545
angles (deg): 93.30 97.10 92.31
Space group P-1 (No. 2)
Symmetry-distinct sites (fractional):
Cu1 0.079 0.347 0.175 (multiplicity 2)
N1 0.385 0.503 0.751 (multiplicity 2)
Cl1 0.000 0.000 0.000 (multiplicity 1)
Cl2 0.326 0.214 0.638 (multiplicity 2)

Output
Its electronic total energy is -0.2852 Ry/atom. The value obtained for the magnetization is 1.6 μB/cell.

=====

No. 2
The following is a PBE calculation of a relaxed structure of CuOsN2Cl, from the Alexandria database.

a b c (Å): 3.826 3.826 4.500
angles (deg): 90.00 90.00 90.00
Space group P4/mmm (No. 123)
Symmetry-distinct sites (fractional):
Cu1 0.000 0.000 0.000 (multiplicity 1)
Os1 0.500 0.500 0.000 (multiplicity 1)
N1 0.000 0.500 0.500 (multiplicity 2)
Cl1 0.500 0.500 0.500 (multiplicity 1)

Output
Its electronic total energy is -0.2885 Ry/atom. The value obtained for the magnetization is 1.5 μB/cell.

=====

No. 3
The following is a PBE calculation of a relaxed structure of Cu2PNCl, from the Alexandria database.

a b c (Å): 4.191 4.191 5.201
angles (deg): 90.00 90.00 90.00
Space group P4/mmm (No. 123)
Symmetry-distinct sites (fractional):
Cu1 0.000 0.500 0.000 (multiplicity 2)
P1 0.000 0.000 0.500 (multiplicity 1)
N1 0.500 0.500 0.500 (multiplicity 1)
Cl1 0.000 0.000 0.000 (multiplicity 1)

Output
Its electronic total energy is -0.2109 Ry/atom. The value obtained for the magnetization is 0.1 μB/cell.

=====

No. 4
The following is a PBE calculation of a relaxed structure of Cu2PNCl, from the Alexandria database.

a b c (Å): 4.618 4.618 3.430
angles (deg): 90.00 90.00 90.00
Space group P4/mmm (No. 123)
Symmetry-distinct sites (fractional):
Cu1 0.000 0.500 0.000 (multiplicity 2)
P1 0.000 0.000 0.000 (multiplicity 1)
N1 0.000 0.000 0.500 (multiplicity 1)
Cl1 0.500 0.500 0.500 (multiplicity 1)

Output
Its electronic total energy is -0.3177 Ry/atom. The value obtained for the magnetization is 0.0 μB/cell.

=====

No. 5
The following is a PBE calculation of a relaxed structure of CuPt2NCl, from the Alexandria database.

a b c (Å): 4.574 4.574 3.909
angles (deg): 90.00 90.00 90.00
Space group P4/mmm (No. 123)
Symmetry-distinct sites (fractional):
Cu1 0.000 0.000 0.000 (multiplicity 1)
Pt1 0.000 0.500 0.500 (multiplicity 2)
N1 0.500 0.500 0.000 (multiplicity 1)
Cl1 0.500 0.500 0.500 (multiplicity 1)

Output
Its electronic total energy is -0.2583 Ry/atom. The value obtained for the magnetization is 1.5 μB/cell.

=====

No. 6
The following is a PBE calculation of a relaxed structure of CuS2NCl, from the Alexandria database.

a b c (Å): 4.863 4.863 3.375
angles (deg): 90.00 90.00 90.00
Space group P4/mmm (No. 123)
Symmetry-distinct sites (fractional):
Cu1 0.000 0.000 0.000 (multiplicity 1)
S1 0.000 0.500 0.500 (multiplicity 2)
N1 0.500 0.500 0.000 (multiplicity 1)
Cl1 0.500 0.500 0.500 (multiplicity 1)

Output
Its electronic total energy is -0.2005 Ry/atom. The value obtained for the magnetization is 0.0 μB/cell.

=====

No. 7
The following is a PBE calculation of a relaxed structure of CuS2NCl, from the Alexandria database.

a b c (Å): 4.743 4.743 3.711
angles (deg): 90.00 90.00 90.00
Space group P4/mmm (No. 123)
Symmetry-distinct sites (fractional):
Cu1 0.000 0.000 0.000 (multiplicity 1)
S1 0.000 0.500 0.000 (multiplicity 2)
N1 0.000 0.000 0.500 (multiplicity 1)
Cl1 0.500 0.500 0.500 (multiplicity 1)

Output
Its electronic total energy is -0.2369 Ry/atom. The value obtained for the magnetization is 1.8 μB/cell.

=====

No. 8
The following is a PBE calculation of a relaxed structure of CuSN2Cl, from the Alexandria database.

a b c (Å): 3.726 3.726 5.803
angles (deg): 90.00 90.00 90.00
Space group P4/mmm (No. 123)
Symmetry-distinct sites (fractional):
Cu1 0.000 0.000 0.000 (multiplicity 1)
S1 0.000 0.000 0.500 (multiplicity 1)
N1 0.000 0.500 0.000 (multiplicity 2)
Cl1 0.500 0.500 0.500 (multiplicity 1)

Output
Its electronic total energy is -0.2717 Ry/atom. The value obtained for the magnetization is 4.1 μB/cell.

=====

No. 9
The following is a PBE calculation of a relaxed structure of CuS2NCl, from the Alexandria database.

a b c (Å): 4.540 4.540 4.424
angles (deg): 90.00 90.00 90.00
Space group P4/mmm (No. 123)
Symmetry-distinct sites (fractional):
Cu1 0.000 0.000 0.000 (multiplicity 1)
S1 0.000 0.500 0.000 (multiplicity 2)
N1 0.500 0.500 0.500 (multiplicity 1)
Cl1 0.000 0.000 0.500 (multiplicity 1)

Output
Its electronic total energy is -0.2039 Ry/atom. The value obtained for the magnetization is 0.0 μB/cell.

=====

No. 10
The following is a PBE calculation of a relaxed structure of CuSN2Cl, from the Alexandria database.

a b c (Å): 3.468 3.468 7.312
angles (deg): 90.00 90.00 90.00
Space group P4/mmm (No. 123)
Symmetry-distinct sites (fractional):
Cu1 0.000 0.000 0.000 (multiplicity 1)
S1 0.500 0.500 0.000 (multiplicity 1)
N1 0.000 0.500 0.500 (multiplicity 2)
Cl1 0.500 0.500 0.500 (multiplicity 1)

Output
Its electronic total energy is -0.2368 Ry/atom. The value obtained for the magnetization is 0.3 μB/cell.

=====

No. 11
The following is a PBE calculation of a relaxed structure of CuS2NCl, from the Alexandria database.

a b c (Å): 3.749 3.749 7.167
angles (deg): 90.00 90.00 90.00
Space group P4/mmm (No. 123)
Symmetry-distinct sites (fractional):
Cu1 0.000 0.000 0.000 (multiplicity 1)
S1 0.000 0.500 0.500 (multiplicity 2)
N1 0.500 0.500 0.500 (multiplicity 1)
Cl1 0.500 0.500 0.000 (multiplicity 1)

Output
Its electronic total energy is -0.2626 Ry/atom. The value obtained for the magnetization is 0.0 μB/cell.

=====

No. 12
The following is a PBE calculation of a relaxed structure of ScCuNCl2, from the Alexandria database.

a b c (Å): 5.105 5.105 4.047
angles (deg): 90.00 90.00 90.00
Space group P4/mmm (No. 123)
Symmetry-distinct sites (fractional):
Sc1 0.000 0.000 0.000 (multiplicity 1)
Cu1 0.500 0.500 0.500 (multiplicity 1)
N1 0.000 0.000 0.500 (multiplicity 1)
Cl1 0.000 0.500 0.000 (multiplicity 2)

Output
Its electronic total energy is -0.3468 Ry/atom. The value obtained for the magnetization is 1.0 μB/cell.